Record 1
First-principles (PBE-GGA) data for MnHgAsI6 after structural relaxation, as listed in the Alexandria database.

```
MnHgAsI6
1.0
7.3633 0.0002 0.0000
3.6819 6.3766 -0.0001
0.0002 -0.0002 7.4270
Mn Hg As I
1 1 1 6
Direct
0.6666 0.6667 0.5000
0.9999 0.0000 0.0000
0.3333 0.3334 0.5000
0.9961 0.3628 0.2787
0.3628 0.9961 0.7213
0.6411 0.3628 0.7212
0.9961 0.6411 0.7213
0.3628 0.6411 0.2788
0.6410 0.9961 0.2787
```

Formation energy without anion corrections   -0.21 eV per atom
SG   P312, No. 149
Raw total energy   -2.8126 eV/atom
N(E_F)   2.3 states/eV per cell

***

Record 2
First-principles (PBE-GGA) data for GdAlPdRh after structural relaxation, as listed in the Alexandria database.

```
GdAlPdRh
1.0
-3.2270 -0.2460 -3.3549
-2.6688 -3.8017 -0.3926
-4.5253 0.2054 1.0993
Gd Rh Al Pd
1 1 1 1
Direct
0.2500 0.2500 0.2500
0.5000 0.5000 0.5000
0.7500 0.7500 0.7500
0.0000 0.0000 0.0000
```

SG   F-43m, No. 216
Raw total energy   -8.3702 eV/atom
Energy of formation   -0.778 eV per atom
N(E_F)   3.0 states/eV per cell

***

Record 3
First-principles (PBE-GGA) data for CrFe14Ir after structural relaxation, as listed in the Alexandria database.

```
CrFe14Ir
1.0
-3.5663 -0.7356 -3.4141
1.8930 -4.3761 1.4774
-5.5711 -0.4150 5.9088
Cr Fe Ir
1 14 1
Direct
0.1249 0.8751 0.5000
0.1250 0.8750 0.0000
0.6250 0.3750 0.0000
0.1249 0.3751 0.5000
0.1249 0.3750 0.0000
0.6249 0.8751 0.5000
0.6250 0.8751 0.0000
0.3710 0.1209 0.7549
0.3710 0.1209 0.2451
0.8791 0.6290 0.7549
0.8791 0.6290 0.2451
0.3754 0.6246 0.7512
0.3754 0.6246 0.2488
0.8747 0.1253 0.7511
0.8747 0.1253 0.2489
0.6249 0.3751 0.5000
```

SG   Cmmm, No. 65
Raw total energy   -8.5608 eV/atom
Energy of formation   -0.001 eV per atom
N(E_F)   11.5 states/eV per cell

***

Record 4
First-principles (PBE-GGA) data for SmY2S after structural relaxation, as listed in the Alexandria database.

```
SmY2S
1.0
3.7575 0.0000 0.0000
1.8788 3.2541 0.0000
1.8788 1.0847 9.3000
Sm Y S
1 2 1
Direct
0.4997 0.4997 0.5009
0.0601 0.0601 0.8197
0.2735 0.2735 0.1796
0.6667 0.6667 0.9998
```

Formation energy without anion corrections   -0.96 eV per atom
SG   R3m, No. 160
Raw total energy   -6.4071 eV/atom
Energy above the lowest structure with this stoichiometry   0.0000 eV/atom
N(E_F)   2.9 states/eV per cell

***

| no. | total magnetization (μB/f.u.) |
| --- | --- |
| 1 | 4.23 |
| 2 | 7.11 |
| 3 | 32.32 |
| 4 | 0.72 |